# 1
Material: PmNd3Dy8
Method: DFT, PBE-GGA
State: relaxed

Cell lengths 8.3939, 8.3939, 8.3940 Å; angles 94.81, 117.26, 117.26 degrees
Positions (direct):
1 Dy 0.0000 0.7548 0.2516
2 Dy 0.4968 0.2452 0.2452
3 Dy 0.0000 0.6260 0.8767
4 Dy 0.0000 0.8767 0.6260
5 Dy 0.2506 0.3740 0.3740
6 Dy 0.0000 0.2516 0.7548
7 Dy 0.7494 0.1233 0.1233
8 Dy 0.5032 0.7484 0.7484
9 Pm 0.0000 0.0000 0.0000
10 Nd 0.5000 0.2500 0.7500
11 Nd 0.5000 0.7500 0.2500
12 Nd 0.0000 0.5000 0.5000

Results
Energy relative to the elements (meV/atom): 617
Magnetization (Bohr magnetons per cell): 0.00
SG: I-42m, No. 121
Crystal system: tetragonal


# 2
Material: Pm3Nd7Dy2
Method: DFT, PBE-GGA
State: relaxed

Cell lengths 6.6578, 6.6578, 11.9746 Å; angles 73.86, 73.86, 60.00 degrees
Positions (direct):
1 Pm 0.8479 0.8479 0.4562
2 Pm 0.1521 0.1521 0.5438
3 Pm 0.0000 0.0000 0.0000
4 Nd 0.9218 0.4131 0.2520
5 Nd 0.5869 0.0782 0.7480
6 Nd 0.4131 0.9218 0.2520
7 Nd 0.4131 0.4131 0.2520
8 Nd 0.5869 0.5869 0.7480
9 Nd 0.0782 0.5869 0.7480
10 Nd 0.5000 0.5000 0.5000
11 Dy 0.6658 0.6658 0.0025
12 Dy 0.3342 0.3342 0.9975

Results
Excess energy over the best structure of this formula in the dataset (kcal/mol of atoms): 4.48
Energy relative to the elements (meV/atom): 282
Magnetization (Bohr magnetons per cell): 0.00
SG: R-3m, No. 166
Crystal system: trigonal